# HfSc2Ni3

A relaxed HfSc2Ni3 crystal (PBE, Alexandria).

## Properties
energy of formation = -0.4899 eV/atom
DFT total energy = -7.15 eV/atom
SG = Pmmn (59)

Cell: 3.196 4.455 13.527 Å, 90.00 90.00 90.00°
Positions (direct):
Hf 0.998 0.500 0.500
Hf 0.002 0.000 0.000
Sc 0.999 0.000 0.669
Sc 0.999 0.000 0.331
Sc 0.001 0.500 0.169
Sc 0.001 0.500 0.831
Ni 0.499 0.500 0.656
Ni 0.498 0.000 0.500
Ni 0.499 0.500 0.344
Ni 0.501 0.000 0.156
Ni 0.502 0.500 0.000
Ni 0.501 0.000 0.844



# Pr12Y2Er5

A relaxed Pr12Y2Er5 crystal (PBE, Alexandria).

## Properties
energy of formation = 0.1322 eV/atom
DFT total energy = -4.77 eV/atom
SG = C2/m (12)

Cell: 10.687 9.321 8.166 Å, 86.73 90.00 124.98°
Positions (direct):
Pr 0.134 0.267 0.891
Pr 0.039 0.630 0.792
Pr 0.592 0.630 0.792
Pr 0.165 0.787 0.386
Pr 0.621 0.787 0.386
Pr 0.444 0.888 0.714
Pr 0.556 0.112 0.286
Pr 0.835 0.213 0.614
Pr 0.379 0.213 0.614
Pr 0.961 0.370 0.208
Pr 0.408 0.370 0.208
Pr 0.866 0.733 0.109
Y 0.732 0.000 0.000
Y 0.268 0.000 0.000
Er 0.241 0.483 0.510
Er 0.345 0.689 0.098
Er 0.000 0.000 0.500
Er 0.655 0.311 0.902
Er 0.759 0.517 0.490



# K3PaAs2O8

A relaxed K3PaAs2O8 crystal (PBE, Alexandria).

## Properties
DFT total energy = -6.32 eV/atom
energy relative to the elements, uncorrected = -1.9101 eV per atom
SG = P-3m1 (164)

Cell: 6.207 6.207 7.838 Å, 90.00 90.00 120.00°
Positions (direct):
K 0.333 0.667 0.736
K 0.667 0.333 0.264
K 0.000 0.000 0.000
Pa 0.000 0.000 0.500
As 0.333 0.667 0.270
As 0.667 0.333 0.730
O 0.333 0.667 0.054
O 0.667 0.333 0.946
O 0.162 0.838 0.329
O 0.838 0.162 0.671
O 0.162 0.323 0.329
O 0.838 0.677 0.671
O 0.677 0.838 0.329
O 0.323 0.162 0.671



Which formula does entry 2 have? Pr12Y2Er5